(1)
# PBE ZnSb2Rh, optimized geometry
# Crystal system: tetragonal
# Fermi-level density of states (states/eV/cell): 2.48
# Calculated volume (A^3/atom): 21.0
# Raw formation energy (kJ/mol of formula units): -52
# E_tot (eV per atom): -4.353
data_ZnSb2Rh
_chemical_formula_sum 'Zn1 Sb2 Rh1'
_symmetry_space_group_name_H-M 'P 1'
_symmetry_Int_Tables_number 1
_cell_length_a 3.263
_cell_length_b 3.263
_cell_length_c 7.905
_cell_angle_alpha 90.00
_cell_angle_beta 90.00
_cell_angle_gamma 90.00
loop_
_symmetry_equiv_pos_as_xyz
'x,y,z'
loop_
_atom_site_label
_atom_site_type_symbol
_atom_site_fract_x
_atom_site_fract_y
_atom_site_fract_z
Rh1 Rh 0.500 0.500 0.716
Sb1 Sb 0.000 0.000 0.918
Sb2 Sb 0.500 0.500 0.316
Zn1 Zn 0.000 0.000 0.550

---

(2)
# PBE Ba3PaMn2S9, optimized geometry
# Crystal system: trigonal
# Fermi-level density of states (states/eV/cell): 7.14
# Calculated volume (A^3/atom): 23.9
# Raw formation energy (kJ/mol of formula units): -2019
# E_tot (eV per atom): -6.111
data_Ba3PaMn2S9
_chemical_formula_sum 'Ba3 Pa1 Mn2 S9'
_symmetry_space_group_name_H-M 'P 1'
_symmetry_Int_Tables_number 1
_cell_length_a 6.954
_cell_length_b 6.954
_cell_length_c 8.550
_cell_angle_alpha 90.00
_cell_angle_beta 90.00
_cell_angle_gamma 120.00
loop_
_symmetry_equiv_pos_as_xyz
'x,y,z'
loop_
_atom_site_label
_atom_site_type_symbol
_atom_site_fract_x
_atom_site_fract_y
_atom_site_fract_z
S1 S 0.000 0.500 0.000
S2 S 0.500 0.500 0.000
S3 S 0.826 0.174 0.677
S4 S 0.652 0.826 0.323
S5 S 0.174 0.348 0.323
S6 S 0.348 0.174 0.677
S7 S 0.826 0.652 0.677
S8 S 0.174 0.826 0.323
S9 S 0.500 0.000 0.000
Ba1 Ba 0.000 0.000 0.000
Ba2 Ba 0.333 0.667 0.688
Ba3 Ba 0.667 0.333 0.312
Mn1 Mn 0.667 0.333 0.846
Mn2 Mn 0.333 0.667 0.154
Pa1 Pa 0.000 0.000 0.500

---

(3)
# PBE Y3In, optimized geometry
# Crystal system: tetragonal
# Energy of formation (eV/atom): -0.263
# Fermi-level density of states (states/eV/cell): 8.28
# Calculated volume (A^3/atom): 28.8
# E_tot (eV per atom): -5.796
data_Y3In
_chemical_formula_sum 'Y6 In2'
_symmetry_space_group_name_H-M 'P 1'
_symmetry_Int_Tables_number 1
_cell_length_a 10.541
_cell_length_b 10.541
_cell_length_c 10.541
_cell_angle_alpha 153.66
_cell_angle_beta 153.66
_cell_angle_gamma 37.59
loop_
_symmetry_equiv_pos_as_xyz
'x,y,z'
loop_
_atom_site_label
_atom_site_type_symbol
_atom_site_fract_x
_atom_site_fract_y
_atom_site_fract_z
Y1 Y 0.000 0.500 0.500
Y2 Y 0.877 0.877 0.000
Y3 Y 0.750 0.250 0.500
Y4 Y 0.250 0.750 0.500
Y5 Y 0.500 0.000 0.500
Y6 Y 0.123 0.123 0.000
In1 In 0.624 0.624 0.000
In2 In 0.376 0.376 0.000

---

(4)
# PBE LiY2MoC, optimized geometry
# Crystal system: tetragonal
# Energy of formation (eV/atom): 0.016
# Fermi-level density of states (states/eV/cell): 5.92
# Calculated volume (A^3/atom): 20.7
# E_tot (eV per atom): -6.964
data_LiY2MoC
_chemical_formula_sum 'Li1 Y2 Mo1 C1'
_symmetry_space_group_name_H-M 'P 1'
_symmetry_Int_Tables_number 1
_cell_length_a 5.027
_cell_length_b 5.027
_cell_length_c 4.089
_cell_angle_alpha 90.00
_cell_angle_beta 90.00
_cell_angle_gamma 90.00
loop_
_symmetry_equiv_pos_as_xyz
'x,y,z'
loop_
_atom_site_label
_atom_site_type_symbol
_atom_site_fract_x
_atom_site_fract_y
_atom_site_fract_z
Y1 Y 0.500 0.000 0.000
Y2 Y 0.000 0.500 0.000
C1 C 0.000 0.000 0.000
Li1 Li 0.500 0.500 0.500
Mo1 Mo 0.000 0.000 0.500

---

(5)
# PBE LiZr2PaN4, optimized geometry
# Crystal system: tetragonal
# Fermi-level density of states (states/eV/cell): 2.17
# Calculated volume (A^3/atom): 12.7
# Raw formation energy (kJ/mol of formula units): -1124
# E_tot (eV per atom): -9.181
data_LiZr2PaN4
_chemical_formula_sum 'Li1 Zr2 Pa1 N4'
_symmetry_space_group_name_H-M 'P 1'
_symmetry_Int_Tables_number 1
_cell_length_a 4.616
_cell_length_b 4.616
_cell_length_c 5.784
_cell_angle_alpha 113.52
_cell_angle_beta 113.52
_cell_angle_gamma 89.99
loop_
_symmetry_equiv_pos_as_xyz
'x,y,z'
loop_
_atom_site_label
_atom_site_type_symbol
_atom_site_fract_x
_atom_site_fract_y
_atom_site_fract_z
Li1 Li 0.437 0.437 0.000
N1 N 0.693 0.693 0.512
N2 N 0.181 0.181 0.488
N3 N 0.937 0.437 0.000
N4 N 0.437 0.937 0.000
Pa1 Pa 0.937 0.937 0.000
Zr1 Zr 0.187 0.687 0.500
Zr2 Zr 0.687 0.187 0.500

---

(6)
# PBE PmAsPd2, optimized geometry
# Crystal system: tetragonal
# Energy of formation (eV/atom): -0.549
# Fermi-level density of states (states/eV/cell): 3.48
# Calculated volume (A^3/atom): 20.0
# E_tot (eV per atom): -5.495
data_PmAsPd2
_chemical_formula_sum 'Pm1 As1 Pd2'
_symmetry_space_group_name_H-M 'P 1'
_symmetry_Int_Tables_number 1
_cell_length_a 3.684
_cell_length_b 3.684
_cell_length_c 5.884
_cell_angle_alpha 90.00
_cell_angle_beta 90.00
_cell_angle_gamma 90.00
loop_
_symmetry_equiv_pos_as_xyz
'x,y,z'
loop_
_atom_site_label
_atom_site_type_symbol
_atom_site_fract_x
_atom_site_fract_y
_atom_site_fract_z
Pd1 Pd 0.000 0.000 0.234
Pd2 Pd 0.000 0.000 0.766
As1 As 0.500 0.500 0.000
Pm1 Pm 0.500 0.500 0.500